Entry 1:
Density functional theory data (PBE) for a geometry-optimized CeIn5Ag structure.

Lattice parameters (Å, degrees): 4.8448 4.8448 7.6237 90.00 90.00 90.00
Closest atoms and distances in Å follow each position.
Space group P4/mmm (No. 123)
Asymmetric unit:
1 Ce 0.0000 0.0000 0.0000 [1 per cell]  12 In 3.28-3.43
2 In 0.0000 0.5000 0.2910 [4 per cell]  2 Ag 2.90, 1 In 3.19
3 In 0.5000 0.5000 0.0000 [1 per cell]  8 In 3.28, 4 Ce 3.43
4 Ag 0.0000 0.0000 0.5000 [1 per cell]  8 In 2.90

## Properties
The calculation puts the density of states at the Fermi level at 6.64 states/eV/f.u. The calculated total energy is -0.12673 hartree per atom. For the total magnetic moment, the calculation gives 0.7 μB/f.u.



Entry 2:
Density functional theory data (PBE) for a geometry-optimized Li2Bi3Au2 structure.

Lattice parameters (Å, degrees): 4.5688 4.5688 27.2100 90.00 90.00 120.00
Closest atoms and distances in Å follow each position.
Space group R-3m (No. 166, hexagonal axes)
Asymmetric unit:
1 Li 0.0000 0.0000 0.1117 [6 per cell]  3 Au 2.67
2 Bi 0.0000 0.0000 0.3756 [6 per cell]  3 Au 3.03, 3 Li 3.25, 1 Bi 3.39
3 Bi 0.0000 0.0000 0.5000 [3 per cell]  6 Li 3.03, 6 Au 3.24, 2 Bi 3.39
4 Au 0.0000 0.0000 0.2360 [6 per cell]  3 Li 2.67

## Properties
The calculation puts the density of states at the Fermi level at 2.53 states/eV/f.u. The calculated total energy is -0.12479 hartree per atom. For the total magnetic moment, the calculation gives 0.0 μB/f.u.



Entry 3:
Density functional theory data (PBE) for a geometry-optimized Y2ZnCo2 structure.

Lattice parameters (Å, degrees): 6.8804 6.8804 3.9793 90.00 90.00 90.00
Closest atoms and distances in Å follow each position.
Space group P4/mbm (No. 127)
Asymmetric unit:
1 Y 0.1805 0.3195 0.0000 [4 per cell]  6 Co 2.80-2.89
2 Zn 0.0000 0.0000 0.5000 [2 per cell]  4 Co 2.76
3 Co 0.1167 0.6167 0.5000 [4 per cell]  1 Co 2.27

## Properties
The calculation puts the density of states at the Fermi level at 3.10 states/eV/f.u. The calculated total energy is -0.21639 hartree per atom. For the total magnetic moment, the calculation gives 0.9 μB/f.u.



Entry 4:
Density functional theory data (PBE) for a geometry-optimized VInPb2 structure.

Lattice parameters (Å, degrees): 4.5281 4.5281 21.1697 90.00 90.00 90.00
Closest atoms and distances in Å follow each position.
Space group I-42d (No. 122)
Asymmetric unit:
1 V 0.0000 0.0000 0.0000 [4 per cell]  4 Pb 3.08, 4 In 3.20
2 In 0.0000 0.0000 0.5000 [4 per cell]  4 Pb 3.11, 4 V 3.20
3 Pb 0.2410 0.2500 0.1250 [8 per cell]  2 V 3.08, 2 In 3.11, 4 Pb 3.14-3.26

## Properties
The calculation puts the density of states at the Fermi level at 4.52 states/eV/f.u. The calculated total energy is -0.15729 hartree per atom. For the total magnetic moment, the calculation gives 3.2 μB/f.u.



Entry 5:
Density functional theory data (PBE) for a geometry-optimized Hf2ScUC4 structure.

Lattice parameters (Å, degrees): 5.7581 3.3506 5.8351 90.00 108.53 90.00
Closest atoms and distances in Å follow each position.
Space group P2/m (No. 10)
Asymmetric unit:
1 Hf 0.0000 0.0000 0.0000 [1 per cell]  6 C 2.36-2.41
2 Hf 0.5000 0.5000 0.0000 [1 per cell]  6 C 2.32-2.35
3 Sc 0.0000 0.5000 0.5000 [1 per cell]  6 C 2.39-2.41
4 U 0.5000 0.0000 0.5000 [1 per cell]  6 C 2.30-2.40
5 C 0.2491 0.5000 0.2420 [2 per cell]  3 Hf 2.32-2.36, 1 Sc 2.39, 2 U 2.40
6 C 0.2615 0.0000 0.7502 [2 per cell]  1 U 2.30, 3 Hf 2.35-2.41, 2 Sc 2.41

## Properties
The calculation puts the density of states at the Fermi level at 3.19 states/eV/f.u. The calculated total energy is -0.36519 hartree per atom. For the total magnetic moment, the calculation gives 0.0 μB/f.u.



Entry 6:
Density functional theory data (PBE) for a geometry-optimized Rb2SrAg2Br6 structure.

Lattice parameters (Å, degrees): 14.3722 8.2316 8.2381 90.00 119.11 90.00
Closest atoms and distances in Å follow each position.
Space group C2/m (No. 12)
Asymmetric unit:
1 Rb 0.2358 0.0000 0.1885 [4 per cell]  5 Br 3.44-3.56
2 Sr 0.0000 0.0000 0.5000 [2 per cell]  6 Br 3.05-3.07
3 Ag 0.0570 0.5000 0.2091 [4 per cell]  3 Br 2.61-2.66
4 Br 0.0647 0.2472 0.8161 [8 per cell]  1 Ag 2.66
5 Br 0.2352 0.0000 0.6060 [4 per cell]  1 Ag 2.61

## Properties
The formation energy from raw total energies is -1.3165 eV/atom. The calculation puts the density of states at the Fermi level at 0.00 states/eV/f.u. The calculated total energy is -0.11305 hartree per atom. For the total magnetic moment, the calculation gives 0.0 μB/f.u.



Entry 7:
Density functional theory data (PBE) for a geometry-optimized Ac8La3Pr3 structure.

Lattice parameters (Å, degrees): 6.9121 9.8016 9.8355 90.63 107.73 107.65
Closest atoms and distances in Å follow each position.
Space group P-1 (No. 2)
Asymmetric unit:
1 Ac 0.0241 0.0398 0.3065 [2 per cell]  5 Ac 3.73-3.99, 3 Pr 3.85-4.12, 1 La 4.10
2 Ac 0.0237 0.3044 0.0367 [2 per cell]  5 Ac 3.73-4.00, 3 Pr 3.84-4.12, 1 La 4.09
3 Ac 0.4705 0.8784 0.3610 [2 per cell]  4 Ac 3.45-3.85, 1 La 3.49, 2 Pr 3.80-3.85
4 Ac 0.4710 0.3617 0.8771 [2 per cell]  4 Ac 3.46-3.85, 1 La 3.49, 2 Pr 3.80-3.86
5 La 0.0005 0.6244 0.3766 [2 per cell]  3 La 3.46-3.87, 2 Ac 3.49, 2 Pr 3.60-3.61
6 La 0.5000 0.5000 0.5000 [1 per cell]  2 Pr 3.58, 4 La 3.86-3.87, 2 Ac 4.00
7 Pr 0.3907 0.7300 0.7313 [2 per cell]  1 Pr 3.46, 3 La 3.58-3.61, 2 Ac 3.85-3.86
8 Pr 0.5000 0.0000 0.0000 [1 per cell]  2 Pr 3.46, 8 Ac 3.80-3.85

## Properties
The calculation puts the density of states at the Fermi level at 20.85 states/eV/f.u. The calculated total energy is -0.15626 hartree per atom. For the total magnetic moment, the calculation gives 0.0 μB/f.u.



Entry 8:
Density functional theory data (PBE) for a geometry-optimized LiVCuS structure.

Lattice parameters (Å, degrees): 2.9876 2.9876 5.9763 90.00 90.00 90.00
Closest atoms and distances in Å follow each position.
Space group P4mm (No. 99)
Asymmetric unit:
1 Li 0.0000 0.0000 0.0000 [1 per cell]  4 Cu 2.62, 4 S 2.67, 1 V 2.81
2 V 0.0000 0.0000 0.4709 [1 per cell]  4 S 2.42, 4 Cu 2.66
3 Cu 0.5000 0.5000 0.7415 [1 per cell]  4 Li 2.62, 4 V 2.66, 1 S 2.79
4 S 0.5000 0.5000 0.2742 [1 per cell]  4 V 2.42, 4 Li 2.67

## Properties
The formation energy from raw total energies is -0.3583 eV/atom. The calculation puts the density of states at the Fermi level at 2.60 states/eV/f.u. The calculated total energy is -0.19008 hartree per atom. For the total magnetic moment, the calculation gives 0.9 μB/f.u. The excess energy over the best structure of this formula in the dataset is 0 meV/atom.



Entry 9:
Density functional theory data (PBE) for a geometry-optimized AlInSe2Br structure.

Lattice parameters (Å, degrees): 4.9462 4.9462 5.3233 90.00 90.00 90.00
Closest atoms and distances in Å follow each position.
Space group P4/mmm (No. 123)
Asymmetric unit:
1 Al 0.0000 0.0000 0.0000 [1 per cell]  4 Se 2.47, 2 Br 2.66
2 In 0.5000 0.5000 0.5000 [1 per cell]  4 Br 3.50, 8 Se 3.63
3 Se 0.0000 0.5000 0.0000 [2 per cell]  2 Al 2.47
4 Br 0.0000 0.0000 0.5000 [1 per cell]  2 Al 2.66

## Properties
The formation energy from raw total energies is -0.3647 eV/atom. The calculation puts the density of states at the Fermi level at 4.76 states/eV/f.u. The calculated total energy is -0.12455 hartree per atom. For the total magnetic moment, the calculation gives 0.0 μB/f.u. The excess energy over the best structure of this formula in the dataset is 0 meV/atom.



Entry 10:
Density functional theory data (PBE) for a geometry-optimized HfBe2SiNi4 structure.

Lattice parameters (Å, degrees): 3.7969 3.7969 22.4587 90.00 90.00 120.00
Closest atoms and distances in Å follow each position.
Space group R-3m (No. 166, hexagonal axes)
Asymmetric unit:
1 Hf 0.0000 0.0000 0.0000 [3 per cell]  8 Ni 2.66-2.94, 6 Be 2.97
2 Be 0.0000 0.0000 0.2439 [6 per cell]  6 Ni 2.25-2.38
3 Si 0.0000 0.0000 0.5000 [3 per cell]  8 Ni 2.23-2.33
4 Ni 0.0000 0.0000 0.1311 [6 per cell]  3 Si 2.33, 4 Be 2.38-2.53
5 Ni 0.0000 0.0000 0.4007 [6 per cell]  1 Si 2.23, 3 Be 2.25

## Properties
The formation energy from raw total energies is -0.4440 eV/atom. The calculation puts the density of states at the Fermi level at 2.69 states/eV/f.u. The calculated total energy is -0.22741 hartree per atom. For the total magnetic moment, the calculation gives 0.0 μB/f.u.



Entry 11:
Density functional theory data (PBE) for a geometry-optimized Ca2PrRhO6 structure.

Lattice parameters (Å, degrees): 5.6817 5.9365 9.8835 90.00 123.89 90.00
Closest atoms and distances in Å follow each position.
Space group P2_1/c (No. 14)
Asymmetric unit:
1 Ca 0.2311 0.0578 0.2521 [4 per cell]  5 O 2.36-2.59
2 Pr 0.5000 0.0000 0.0000 [2 per cell]  6 O 2.33-2.38
3 Rh 0.0000 0.0000 0.5000 [2 per cell]  6 O 1.98-2.02
4 O 0.0975 0.2217 0.9260 [4 per cell]  1 Rh 2.01
5 O 0.2200 0.6812 0.9393 [4 per cell]  1 Rh 1.98
6 O 0.3492 0.0573 0.7245 [4 per cell]  1 Rh 2.02

## Properties
The formation energy from raw total energies is -2.1935 eV/atom. The calculation puts the density of states at the Fermi level at 3.95 states/eV/f.u. The calculated total energy is -0.24923 hartree per atom. For the total magnetic moment, the calculation gives 2.0 μB/f.u.



Entry 12:
Density functional theory data (PBE) for a geometry-optimized AlTcCl structure.

Lattice parameters (Å, degrees): 6.1645 6.1645 6.1645 90.00 90.00 90.00
Closest atoms and distances in Å follow each position.
Space group F-43m (No. 216)
Asymmetric unit:
1 Al 0.0000 0.0000 0.0000 [4 per cell]  4 Tc 2.67
2 Tc 0.2500 0.2500 0.2500 [4 per cell]  4 Cl 2.67, 4 Al 2.67
3 Cl 0.0000 0.0000 0.5000 [4 per cell]  4 Tc 2.67

## Properties
The formation energy from raw total energies is 0.7186 eV/atom. The calculation puts the density of states at the Fermi level at 1.47 states/eV/f.u. The calculated total energy is -0.16904 hartree per atom. For the total magnetic moment, the calculation gives 2.1 μB/f.u. The excess energy over the best structure of this formula in the dataset is 741 meV/atom.



Copy entry 5 word for word.
Density functional theory data (PBE) for a geometry-optimized Hf2ScUC4 structure.

Lattice parameters (Å, degrees): 5.7581 3.3506 5.8351 90.00 108.53 90.00
Closest atoms and distances in Å follow each position.
Space group P2/m (No. 10)
Asymmetric unit:
1 Hf 0.0000 0.0000 0.0000 [1 per cell]  6 C 2.36-2.41
2 Hf 0.5000 0.5000 0.0000 [1 per cell]  6 C 2.32-2.35
3 Sc 0.0000 0.5000 0.5000 [1 per cell]  6 C 2.39-2.41
4 U 0.5000 0.0000 0.5000 [1 per cell]  6 C 2.30-2.40
5 C 0.2491 0.5000 0.2420 [2 per cell]  3 Hf 2.32-2.36, 1 Sc 2.39, 2 U 2.40
6 C 0.2615 0.0000 0.7502 [2 per cell]  1 U 2.30, 3 Hf 2.35-2.41, 2 Sc 2.41

## Properties
The calculation puts the density of states at the Fermi level at 3.19 states/eV/f.u. The calculated total energy is -0.36519 hartree per atom. For the total magnetic moment, the calculation gives 0.0 μB/f.u.



Repeat the fourth record exactly.
Density functional theory data (PBE) for a geometry-optimized VInPb2 structure.

Lattice parameters (Å, degrees): 4.5281 4.5281 21.1697 90.00 90.00 90.00
Closest atoms and distances in Å follow each position.
Space group I-42d (No. 122)
Asymmetric unit:
1 V 0.0000 0.0000 0.0000 [4 per cell]  4 Pb 3.08, 4 In 3.20
2 In 0.0000 0.0000 0.5000 [4 per cell]  4 Pb 3.11, 4 V 3.20
3 Pb 0.2410 0.2500 0.1250 [8 per cell]  2 V 3.08, 2 In 3.11, 4 Pb 3.14-3.26

## Properties
The calculation puts the density of states at the Fermi level at 4.52 states/eV/f.u. The calculated total energy is -0.15729 hartree per atom. For the total magnetic moment, the calculation gives 3.2 μB/f.u.



Please write out number 9 again, unchanged.
Density functional theory data (PBE) for a geometry-optimized AlInSe2Br structure.

Lattice parameters (Å, degrees): 4.9462 4.9462 5.3233 90.00 90.00 90.00
Closest atoms and distances in Å follow each position.
Space group P4/mmm (No. 123)
Asymmetric unit:
1 Al 0.0000 0.0000 0.0000 [1 per cell]  4 Se 2.47, 2 Br 2.66
2 In 0.5000 0.5000 0.5000 [1 per cell]  4 Br 3.50, 8 Se 3.63
3 Se 0.0000 0.5000 0.0000 [2 per cell]  2 Al 2.47
4 Br 0.0000 0.0000 0.5000 [1 per cell]  2 Al 2.66

## Properties
The formation energy from raw total energies is -0.3647 eV/atom. The calculation puts the density of states at the Fermi level at 4.76 states/eV/f.u. The calculated total energy is -0.12455 hartree per atom. For the total magnetic moment, the calculation gives 0.0 μB/f.u. The excess energy over the best structure of this formula in the dataset is 0 meV/atom.